(1)
Compound: Cs2Sr2I5
Source: Alexandria via LeMat-Bulk
Functional: PBE-GGA
Structure: relaxed

Calculated values
energy: -25.8 eV/cell
formation energy (no corrections): -1.441 eV per atom

Cell: 6.6057 9.5325 10.1060 Å, 124.63 90.00 110.27°
Fractional coordinates of all 9 atoms:
Cs (0.3807, 0.7615, 0.7086)
Sr (0.8839, 0.7679, 0.1700)
I (0.1182, 0.2364, 0.5056)
Sr (0.1161, 0.2321, 0.8300)
Cs (0.6193, 0.2385, 0.2914)
I (0.3551, 0.7102, 0.0960)
I (0.6449, 0.2898, 0.9040)
I (0.0000, 0.0000, 0.0000)
I (0.8818, 0.7636, 0.4944)



(2)
Compound: CsSrI3
Source: Alexandria via LeMat-Bulk
Functional: PBE-GGA
Structure: relaxed

Calculated values
energy: -30.9 eV/cell
formation energy (no corrections): -1.652 eV per atom

Cell: 8.7710 9.0799 9.1070 Å, 59.98 118.96 118.83°
Fractional coordinates of all 10 atoms:
Cs (0.1422, 0.0391, 0.0168)
I (0.5831, 0.4707, 0.1262)
Sr (0.3835, 0.7664, 0.7897)
I (0.6969, 0.9426, 0.5985)
Cs (0.6245, 0.4952, 0.5608)
I (0.6159, 0.0525, 0.0035)
I (0.1511, 0.4807, 0.5753)
I (0.1833, 0.0618, 0.4529)
I (0.0701, 0.5906, 0.9808)
Sr (0.8834, 0.2665, 0.2895)



(3)
Compound: CsSrI3
Source: Alexandria via LeMat-Bulk
Functional: PBE-GGA
Structure: relaxed

Calculated values
energy: -14.2 eV/cell
formation energy (no corrections): -1.401 eV per atom

Cell: 5.7138 5.7138 9.6101 Å, 90.00 90.00 90.00°
Fractional coordinates of all 5 atoms:
Cs (0.0000, 0.0000, 0.1441)
I (0.0000, 0.0000, 0.7576)
Sr (0.5000, 0.5000, 0.5648)
I (0.5000, 0.0000, 0.3986)
I (0.0000, 0.5000, 0.3986)



(4)
Compound: CsSrI3
Source: Alexandria via LeMat-Bulk
Functional: PBE-GGA
Structure: relaxed

Calculated values
energy: -15.3 eV/cell
formation energy (no corrections): -1.622 eV per atom

Cell: 4.9253 6.5252 8.4252 Å, 89.97 108.18 89.78°
Fractional coordinates of all 5 atoms:
I (0.8090, 0.5973, 0.1391)
Cs (0.7044, 0.0980, 0.3686)
I (0.5123, 0.5995, 0.5832)
I (0.1655, 0.0984, 0.8676)
Sr (0.1615, 0.5983, 0.8628)



(5)
Compound: CsSrI3
Source: Alexandria via LeMat-Bulk
Functional: PBE-GGA
Structure: relaxed

Calculated values
energy: -60.2 eV/cell
formation energy (no corrections): -1.574 eV per atom

Cell: 8.5747 17.3456 7.5721 Å, 90.00 90.00 90.00°
Fractional coordinates of all 20 atoms:
Sr (0.8970, 0.7500, 0.9285)
I (0.4265, 0.2500, 0.8265)
I (0.8146, 0.3716, 0.1728)
Cs (0.5000, 0.5000, 0.0000)
I (0.8146, 0.1284, 0.1728)
Cs (0.5000, 0.0000, 0.0000)
I (0.0735, 0.7500, 0.3265)
I (0.6854, 0.6284, 0.6728)
Sr (0.3970, 0.7500, 0.5715)
I (0.3146, 0.3716, 0.3272)
I (0.6854, 0.8716, 0.6728)
Sr (0.1030, 0.2500, 0.0715)
I (0.1854, 0.6284, 0.8272)
Cs (0.0000, 0.5000, 0.5000)
I (0.9265, 0.2500, 0.6735)
I (0.5735, 0.7500, 0.1735)
Sr (0.6030, 0.2500, 0.4285)
I (0.3146, 0.1284, 0.3272)
I (0.1854, 0.8716, 0.8272)
Cs (0.0000, 0.0000, 0.5000)



(6)
Compound: CsSrI3
Source: Alexandria via LeMat-Bulk
Functional: PBE-GGA
Structure: relaxed

Calculated values
energy: -15.3 eV/cell
formation energy (no corrections): -1.630 eV per atom

Cell: 6.4648 6.4648 6.4648 Å, 90.00 90.00 90.00°
Fractional coordinates of all 5 atoms:
I (0.0000, 0.5000, 0.0000)
I (0.5000, 0.0000, 0.0000)
I (0.0000, 0.0000, 0.5000)
Sr (0.0000, 0.0000, 0.0000)
Cs (0.5000, 0.5000, 0.5000)



(7)
Compound: CsSrI3
Source: Alexandria via LeMat-Bulk
Functional: PBE-GGA
Structure: relaxed

Calculated values
energy: -30.6 eV/cell
formation energy (no corrections): -1.626 eV per atom

Cell: 10.4640 8.6010 8.5765 Å, 60.07 114.12 89.92°
Fractional coordinates of all 10 atoms:
I (0.8001, 0.5498, 0.1374)
I (0.3828, 0.3196, 0.2433)
I (0.8001, 0.9290, 0.5172)
Sr (0.5820, 0.2891, 0.0383)
Cs (0.0895, 0.1205, 0.3764)
I (0.3817, 0.0553, 0.8699)
Sr (0.5921, 0.9512, 0.7127)
I (0.3813, 0.6919, 0.6053)
Cs (0.1340, 0.7710, 0.0739)
I (0.8006, 0.1683, 0.8969)



(8)
Compound: CsSrI3
Source: Alexandria via LeMat-Bulk
Functional: PBE-GGA
Structure: relaxed

Calculated values
energy: -30.7 eV/cell
formation energy (no corrections): -1.635 eV per atom

Cell: 10.7230 8.7406 8.5418 Å, 120.78 106.40 56.50°
Fractional coordinates of all 10 atoms:
Sr (0.5945, 0.9860, 0.9405)
I (0.3757, 0.4566, 0.9648)
I (0.7932, 0.8239, 0.5982)
Sr (0.5945, 0.6430, 0.2544)
I (0.8081, 0.1786, 0.2325)
I (0.3957, 0.8063, 0.5980)
I (0.3811, 0.0856, 0.2326)
Cs (0.0943, 0.9594, 0.8858)
Cs (0.0941, 0.3112, 0.5902)
I (0.8129, 0.5394, 0.9641)



(9)
Compound: CsSrI3
Source: Alexandria via LeMat-Bulk
Functional: PBE-GGA
Structure: relaxed

Calculated values
energy: -30.9 eV/cell
formation energy (no corrections): -1.651 eV per atom

Cell: 9.9212 8.7524 8.7566 Å, 120.28 116.15 89.84°
Fractional coordinates of all 10 atoms:
I (0.8231, 0.0972, 0.8906)
I (0.3663, 0.5564, 0.1859)
Cs (0.0136, 0.1719, 0.6280)
I (0.8240, 0.7158, 0.0981)
Cs (0.1753, 0.8918, 0.0667)
I (0.3647, 0.3472, 0.5959)
Sr (0.5812, 0.6934, 0.6720)
I (0.8228, 0.5075, 0.5084)
I (0.3655, 0.9658, 0.8034)
Sr (0.6075, 0.3697, 0.0221)



(10)
Compound: CsSrI3
Source: Alexandria via LeMat-Bulk
Functional: PBE-GGA
Structure: relaxed

Calculated values
energy: -60.7 eV/cell
formation energy (no corrections): -1.597 eV per atom

Cell: 11.8633 11.8633 11.8633 Å, 60.00 60.00 60.00°
Fractional coordinates of all 20 atoms:
I (0.0376, 0.0376, 0.4624)
I (0.4624, 0.0376, 0.0376)
I (0.0376, 0.4624, 0.4624)
Sr (0.1250, 0.1250, 0.6250)
I (0.2124, 0.7876, 0.2124)
I (0.4624, 0.4624, 0.0376)
I (0.4624, 0.0376, 0.4624)
Sr (0.1250, 0.6250, 0.1250)
Cs (0.1250, 0.6250, 0.6250)
I (0.7876, 0.7876, 0.2124)
I (0.7876, 0.2124, 0.7876)
Cs (0.6250, 0.6250, 0.6250)
Cs (0.6250, 0.6250, 0.1250)
Sr (0.6250, 0.1250, 0.1250)
I (0.7876, 0.2124, 0.2124)
Cs (0.6250, 0.1250, 0.6250)
I (0.2124, 0.2124, 0.7876)
Sr (0.1250, 0.1250, 0.1250)
I (0.2124, 0.7876, 0.7876)
I (0.0376, 0.4624, 0.0376)



(11)
Compound: Cs3Sr2I6
Source: Alexandria via LeMat-Bulk
Functional: PBE-GGA
Structure: relaxed

Calculated values
energy: -31.6 eV/cell
formation energy (no corrections): -1.487 eV per atom

Cell: 6.5126 6.5126 15.3125 Å, 102.28 102.28 90.00°
Each line ends with the local moment (μB).
Fractional coordinates of all 11 atoms:
I (0.4156, 0.9156, 0.8313)  0.01
I (0.3064, 0.3064, 0.6128)  0.01
I (0.0844, 0.5844, 0.1687)  0.01
Cs (0.0000, 0.0000, 0.0000)  0.01
I (0.9156, 0.4156, 0.8313)  0.01
I (0.5844, 0.0844, 0.1687)  0.01
Cs (0.8229, 0.8229, 0.6457)  0.00
Sr (0.5817, 0.5817, 0.1635)  0.05
I (0.6936, 0.6936, 0.3872)  0.01
Cs (0.1771, 0.1771, 0.3543)  0.00
Sr (0.4183, 0.4183, 0.8365)  0.05



(12)
Compound: CsSrI3
Source: Alexandria via LeMat-Bulk
Functional: PBE-GGA
Structure: relaxed

Calculated values
energy: -30.8 eV/cell
formation energy (no corrections): -1.640 eV per atom

Cell: 9.3876 9.4282 6.5025 Å, 90.00 109.83 90.00°
Fractional coordinates of all 10 atoms:
Cs (0.6128, 0.7500, 0.3109)
I (0.2652, 0.0194, 0.1298)
I (0.0459, 0.7500, 0.5224)
I (0.7348, 0.5194, 0.8702)
Sr (0.0233, 0.7500, 0.0114)
I (0.9541, 0.2500, 0.4776)
I (0.7348, 0.9806, 0.8702)
Sr (0.9767, 0.2500, 0.9886)
I (0.2652, 0.4806, 0.1298)
Cs (0.3872, 0.2500, 0.6891)



(13)
Compound: CsSrI3
Source: Alexandria via LeMat-Bulk
Functional: PBE-GGA
Structure: relaxed

Calculated values
energy: -61.9 eV/cell
formation energy (no corrections): -1.660 eV per atom

Cell: 9.2322 12.7681 8.7579 Å, 90.00 90.00 90.00°
Fractional coordinates of all 20 atoms:
Sr (0.5000, 0.0000, 0.0000)
I (0.3006, 0.0431, 0.3056)
I (0.0172, 0.7500, 0.4155)
I (0.3006, 0.4569, 0.3056)
Sr (0.0000, 0.5000, 0.5000)
I (0.6994, 0.5431, 0.6944)
Sr (0.5000, 0.5000, 0.0000)
I (0.8006, 0.4569, 0.1944)
I (0.1994, 0.5431, 0.8056)
I (0.9828, 0.2500, 0.5845)
I (0.5172, 0.7500, 0.0845)
Sr (0.0000, 0.0000, 0.5000)
I (0.6994, 0.9569, 0.6944)
Cs (0.4291, 0.7500, 0.5239)
Cs (0.5709, 0.2500, 0.4761)
I (0.8006, 0.0431, 0.1944)
Cs (0.0709, 0.2500, 0.0239)
I (0.1994, 0.9569, 0.8056)
I (0.4828, 0.2500, 0.9155)
Cs (0.9291, 0.7500, 0.9761)



(14)
Compound: Cs3SrI6
Source: Alexandria via LeMat-Bulk
Functional: PBE-GGA
Structure: relaxed

Calculated values
energy relative to the lowest polymorph listed for this composition: 10.29 kJ/mol of atoms
energy: -26.4 eV/cell
formation energy (no corrections): -1.287 eV per atom

Cell: 9.7047 9.7047 9.7048 Å, 60.00 60.00 90.00°
Each line ends with the local moment (μB).
Fractional coordinates of all 10 atoms:
I (0.2652, 0.7348, 0.0000)  0.10
I (0.7348, 0.7348, 0.5304)  0.10
Cs (0.0000, 0.0000, 0.0000)  0.00
Cs (0.2500, 0.7500, 0.5000)  0.00
I (0.7348, 0.2652, 0.0000)  0.10
I (0.2652, 0.2652, 0.4696)  0.10
Cs (0.7500, 0.2500, 0.5000)  0.00
Sr (0.5000, 0.5000, 0.0000)  0.00
I (0.7348, 0.7348, 0.0000)  0.10
I (0.2652, 0.2652, 0.0000)  0.10



(15)
Compound: Cs3Sr2I7
Source: Alexandria via LeMat-Bulk
Functional: PBE-GGA
Structure: relaxed

Calculated values
energy: -35.9 eV/cell
formation energy (no corrections): -1.594 eV per atom

Cell: 6.5014 6.3692 16.2278 Å, 90.00 101.56 90.00°
Fractional coordinates of all 12 atoms:
I (0.5974, 0.0000, 0.1947)
Cs (0.5000, 0.5000, 0.0000)
Cs (0.6816, 0.5000, 0.3632)
I (0.9015, 0.5000, 0.8030)
Sr (0.8965, 0.0000, 0.7930)
I (0.7959, 0.0000, 0.5918)
Sr (0.1035, 0.0000, 0.2070)
I (0.4026, 0.0000, 0.8053)
Cs (0.3184, 0.5000, 0.6368)
I (0.0000, 0.0000, 0.0000)
I (0.0985, 0.5000, 0.1970)
I (0.2041, 0.0000, 0.4082)



(16)
Compound: CsSrI3
Source: Alexandria via LeMat-Bulk
Functional: PBE-GGA
Structure: relaxed

Calculated values
energy: -29.0 eV/cell
formation energy (no corrections): -1.466 eV per atom

Cell: 9.7206 9.7206 9.7206 Å, 59.62 59.62 59.62°
Fractional coordinates of all 10 atoms:
I (0.5727, 0.2500, 0.9273)
I (0.0727, 0.4273, 0.7500)
Cs (0.5000, 0.5000, 0.5000)
I (0.7500, 0.0727, 0.4273)
I (0.2500, 0.9273, 0.5727)
I (0.9273, 0.5727, 0.2500)
I (0.4273, 0.7500, 0.0727)
Cs (0.0000, 0.0000, 0.0000)
Sr (0.7500, 0.7500, 0.7500)
Sr (0.2500, 0.2500, 0.2500)



(17)
Compound: Cs2SrI
Source: Alexandria via LeMat-Bulk
Functional: PBE-GGA
Structure: relaxed

Calculated values
energy relative to the lowest polymorph listed for this composition: 0.00 kJ/mol of atoms
energy: -7.2 eV/cell
formation energy (no corrections): -0.566 eV per atom

Cell: 4.8263 4.8263 14.4547 Å, 80.39 80.39 60.00°
Fractional coordinates of all 4 atoms:
Cs (0.8942, 0.8942, 0.3173)
Cs (0.1058, 0.1058, 0.6827)
I (0.5000, 0.5000, 0.5000)
Sr (0.0000, 0.0000, 0.0000)



(18)
Compound: CsSrI3
Source: Alexandria via LeMat-Bulk
Functional: PBE-GGA
Structure: relaxed

Calculated values
energy: -61.2 eV/cell
formation energy (no corrections): -1.621 eV per atom

Cell: 29.3832 8.3112 11.5254 Å, 90.00 158.68 90.00°
Fractional coordinates of all 20 atoms:
I (0.4438, 0.2121, 0.9437)
I (0.2358, 0.0255, 0.7363)
I (0.5562, 0.7879, 0.0563)
I (0.7358, 0.4745, 0.2363)
Sr (0.6142, 0.1724, 0.1143)
Sr (0.1142, 0.3276, 0.6143)
Sr (0.3858, 0.8276, 0.8857)
I (0.8686, 0.2496, 0.8688)
Cs (0.4201, 0.7500, 0.4205)
I (0.3686, 0.2504, 0.3688)
I (0.0562, 0.7121, 0.5563)
I (0.7642, 0.9745, 0.2637)
I (0.6314, 0.7496, 0.6312)
Cs (0.5799, 0.2500, 0.5795)
I (0.2642, 0.5255, 0.7637)
Sr (0.8858, 0.6724, 0.3857)
I (0.1314, 0.7504, 0.1312)
I (0.9438, 0.2879, 0.4437)
Cs (0.0799, 0.2500, 0.0795)
Cs (0.9201, 0.7500, 0.9205)



(19)
Compound: CsSrI3
Source: Alexandria via LeMat-Bulk
Functional: PBE-GGA
Structure: relaxed

Calculated values
energy: -30.3 eV/cell
formation energy (no corrections): -1.594 eV per atom

Cell: 4.4954 10.1343 11.1775 Å, 90.00 101.01 90.00°
Fractional coordinates of all 10 atoms:
I (0.8976, 0.9482, 0.3095)
I (0.2721, 0.2500, 0.0470)
Sr (0.3292, 0.7500, 0.1660)
I (0.1024, 0.0518, 0.6905)
Cs (0.4425, 0.2500, 0.4026)
I (0.1024, 0.4482, 0.6905)
I (0.8976, 0.5518, 0.3095)
Sr (0.6708, 0.2500, 0.8340)
I (0.7279, 0.7500, 0.9530)
Cs (0.5575, 0.7500, 0.5974)